Entry 1:
# Ba2AlSnS6

Ba2AlSnS6 after structural relaxation (GGA-PBE, Alexandria).

energy = -94.5 eV for the cell shown

a = 6.904 Å, b = 6.904 Å, c = 12.611 Å
α = 74.12°, β = 74.12°, γ = 60.00°
Fractional positions:
Ba (0.880, 0.880, 0.360)
Ba (0.120, 0.120, 0.640)
Ba (0.705, 0.705, 0.884)
Ba (0.295, 0.295, 0.116)
Al (0.000, 0.000, 0.000)
Al (0.500, 0.500, 0.500)
Sn (0.585, 0.585, 0.246)
Sn (0.415, 0.415, 0.754)
S (0.870, 0.376, 0.377)
S (0.376, 0.870, 0.377)
S (0.376, 0.376, 0.377)
S (0.130, 0.624, 0.623)
S (0.624, 0.130, 0.623)
S (0.624, 0.624, 0.623)
S (0.718, 0.201, 0.881)
S (0.201, 0.718, 0.881)
S (0.201, 0.201, 0.881)
S (0.282, 0.799, 0.119)
S (0.799, 0.282, 0.119)
S (0.799, 0.799, 0.119)

***

Entry 2:
# BaAl2SnS6

BaAl2SnS6 after structural relaxation (GGA-PBE, Alexandria).

energy = -97.9 eV for the cell shown

a = 7.011 Å, b = 9.906 Å, c = 9.906 Å
α = 82.68°, β = 63.32°, γ = 63.32°
Fractional positions:
Ba (0.250, 0.654, 0.346)
Ba (0.750, 0.346, 0.654)
Al (0.379, 0.812, 0.645)
Al (0.121, 0.355, 0.188)
Al (0.621, 0.188, 0.355)
Al (0.879, 0.645, 0.812)
Sn (0.250, 0.183, 0.817)
Sn (0.750, 0.817, 0.183)
S (0.085, 0.017, 0.808)
S (0.415, 0.192, 0.983)
S (0.915, 0.983, 0.192)
S (0.585, 0.808, 0.017)
S (0.382, 0.891, 0.417)
S (0.118, 0.583, 0.109)
S (0.618, 0.109, 0.583)
S (0.882, 0.417, 0.891)
S (0.251, 0.625, 0.685)
S (0.249, 0.315, 0.375)
S (0.749, 0.375, 0.315)
S (0.751, 0.685, 0.625)

***

Entry 3:
# BaAlSn2S6

BaAlSn2S6 after structural relaxation (GGA-PBE, Alexandria).

energy = -93.1 eV for the cell shown

a = 8.452 Å, b = 9.269 Å, c = 9.269 Å
α = 78.76°, β = 66.76°, γ = 66.76°
Fractional positions:
Ba (0.250, 0.822, 0.178)
Ba (0.750, 0.178, 0.822)
Al (0.250, 0.176, 0.824)
Al (0.750, 0.824, 0.176)
Sn (0.366, 0.766, 0.634)
Sn (0.134, 0.366, 0.234)
Sn (0.634, 0.234, 0.366)
Sn (0.866, 0.634, 0.766)
S (0.166, 0.966, 0.836)
S (0.334, 0.164, 0.034)
S (0.834, 0.034, 0.164)
S (0.666, 0.836, 0.966)
S (0.468, 0.882, 0.364)
S (0.032, 0.636, 0.118)
S (0.532, 0.118, 0.636)
S (0.968, 0.364, 0.882)
S (0.112, 0.726, 0.579)
S (0.388, 0.421, 0.274)
S (0.888, 0.274, 0.421)
S (0.612, 0.579, 0.726)

***

Entry 4:
# Ba2SrAl2S6

Ba2SrAl2S6 after structural relaxation (GGA-PBE, Alexandria).

energy = -54.2 eV for the cell shown

a = 7.186 Å, b = 7.186 Å, c = 8.788 Å
α = 65.87°, β = 65.87°, γ = 60.00°
Fractional positions:
Ba (0.795, 0.795, 0.615)
Ba (0.205, 0.205, 0.385)
Sr (0.000, 0.000, 0.000)
Al (0.427, 0.427, 0.719)
Al (0.573, 0.573, 0.281)
S (0.745, 0.745, 0.283)
S (0.226, 0.745, 0.283)
S (0.745, 0.226, 0.283)
S (0.255, 0.774, 0.717)
S (0.774, 0.255, 0.717)
S (0.255, 0.255, 0.717)

***

Entry 5:
# Ba2TaAlS6

Ba2TaAlS6 after structural relaxation (GGA-PBE, Alexandria).

energy = -117.1 eV for the cell shown

a = 6.876 Å, b = 6.876 Å, c = 12.110 Å
α = 73.51°, β = 73.51°, γ = 60.00°
Fractional positions:
Ba (0.877, 0.877, 0.369)
Ba (0.123, 0.123, 0.631)
Ba (0.707, 0.707, 0.879)
Ba (0.293, 0.293, 0.121)
Ta (0.586, 0.586, 0.243)
Ta (0.414, 0.414, 0.757)
Al (0.000, 0.000, 0.000)
Al (0.500, 0.500, 0.500)
S (0.868, 0.379, 0.374)
S (0.379, 0.868, 0.374)
S (0.379, 0.379, 0.374)
S (0.132, 0.621, 0.626)
S (0.621, 0.132, 0.626)
S (0.621, 0.621, 0.626)
S (0.712, 0.205, 0.878)
S (0.205, 0.712, 0.878)
S (0.205, 0.205, 0.878)
S (0.288, 0.795, 0.122)
S (0.795, 0.288, 0.122)
S (0.795, 0.795, 0.122)

***

Entry 6:
# BaAlTe2S8

BaAlTe2S8 after structural relaxation (GGA-PBE, Alexandria).

energy = -49.0 eV for the cell shown

a = 6.334 Å, b = 6.334 Å, c = 9.028 Å
α = 90.00°, β = 90.00°, γ = 120.00°
Fractional positions:
Ba (0.000, 0.000, 0.000)
Al (0.000, 0.000, 0.500)
Te (0.667, 0.333, 0.288)
Te (0.333, 0.667, 0.712)
S (0.333, 0.667, 0.966)
S (0.259, 0.298, 0.323)
S (0.702, 0.961, 0.323)
S (0.667, 0.333, 0.034)
S (0.298, 0.039, 0.677)
S (0.741, 0.702, 0.677)
S (0.961, 0.259, 0.677)
S (0.039, 0.741, 0.323)

***

Entry 7:
# BaAlTeS4

BaAlTeS4 after structural relaxation (GGA-PBE, Alexandria).

energy = -63.3 eV for the cell shown

a = 6.765 Å, b = 7.025 Å, c = 8.584 Å
α = 90.00°, β = 107.90°, γ = 90.00°
Fractional positions:
Ba (0.747, 0.750, 0.936)
Ba (0.253, 0.250, 0.064)
Al (0.199, 0.750, 0.305)
Al (0.801, 0.250, 0.695)
Te (0.715, 0.750, 0.441)
Te (0.285, 0.250, 0.559)
S (0.000, 0.505, 0.751)
S (0.000, 0.005, 0.249)
S (0.000, 0.495, 0.249)
S (0.000, 0.995, 0.751)
S (0.444, 0.750, 0.166)
S (0.556, 0.250, 0.834)
S (0.437, 0.750, 0.564)
S (0.563, 0.250, 0.436)

***

Entry 8:
# BaTiAlS4

BaTiAlS4 after structural relaxation (GGA-PBE, Alexandria).

energy = -37.0 eV for the cell shown

a = 7.246 Å, b = 7.246 Å, c = 7.246 Å
α = 60.00°, β = 60.00°, γ = 60.00°
Fractional positions:
Ba (0.750, 0.750, 0.750)
Ti (0.500, 0.500, 0.500)
Al (0.250, 0.250, 0.250)
S (0.373, 0.373, 0.880)
S (0.373, 0.373, 0.373)
S (0.373, 0.880, 0.373)
S (0.880, 0.373, 0.373)

***

Per-record magnetic moment, μB per cell: 0.0; 0.0; 0.0; 0.0; 0.0; 0.0; 0.0; 1.0